Computed, not measured: a relaxed CdFePdF6 crystal at the PBE with a Hubbard U level of DFT. Values from VASP.

Quantum ESPRESSO input file:
```
&SYSTEM
  ibrav = 0, nat = 18, ntyp = 4
/
ATOMIC_SPECIES
Cd 112.41 Cd.upf
Fe 55.84 Fe.upf
Pd 106.42 Pd.upf
F 19.00 F.upf
CELL_PARAMETERS angstrom
5.709 0.000 0.000
-2.855 4.945 0.000
0.000 0.000 9.468
ATOMIC_POSITIONS crystal
Cd 0.333 0.667 0.250
Cd 0.667 0.333 0.750
Fe 0.333 0.667 0.750
Fe 0.667 0.333 0.250
Pd 0.000 0.000 0.000
Pd 0.000 0.000 0.500
F 0.039 0.381 0.636
F 0.039 0.658 0.864
F 0.342 0.381 0.864
F 0.342 0.961 0.636
F 0.381 0.039 0.136
F 0.381 0.342 0.364
F 0.619 0.658 0.636
F 0.619 0.961 0.864
F 0.658 0.039 0.364
F 0.658 0.619 0.136
F 0.961 0.342 0.136
F 0.961 0.619 0.364
```

Output
symmetry: No. 163
spin magnetization: 12.00 Bohr magnetons per cell
total energy: -79.402 eV for the cell shown